1.
A geometry-optimized LiCe4Te5 structure, computed with PBE.

Calculated values
- ΔE_f (raw) (eV per atom) = -1.293
- space-group type = I4/mmm

abc: 16.0563 16.0563 16.0563
angles: 163.96 163.96 22.76
Last column: nearest neighbours and their distance in Å.
Fractional coordinates of all 10 atoms:
Li: 0.0000 0.0000 0.0000  6 Te 3.07-3.17
Ce: 0.2002 0.2002 0.0000  6 Te 3.17-3.24
Ce: 0.4019 0.4019 0.0000  6 Te 3.09-3.18
Ce: 0.5981 0.5981 0.0000  6 Te 3.09-3.18
Ce: 0.7998 0.7998 0.0000  6 Te 3.17-3.24
Te: 0.0974 0.0974 0.0000  1 Li 3.07, 5 Ce 3.17-3.24
Te: 0.3009 0.3009 0.0000  6 Ce 3.17-3.18
Te: 0.5000 0.5000 0.0000  2 Ce 3.09, 4 Li 3.17
Te: 0.6991 0.6991 0.0000  6 Ce 3.17-3.18
Te: 0.9026 0.9026 0.0000  1 Li 3.07, 5 Ce 3.17-3.24


2.
A geometry-optimized Hf6Tl2H structure, computed with PBE.

Calculated values
- space-group type = P2_1/c

abc: 6.2030 5.9097 11.7361
angles: 90.00 121.27 90.00
Last column: nearest neighbours and their distance in Å.
Fractional coordinates of all 18 atoms:
Hf: 0.1143 0.0247 0.2521  1 H 2.64
Hf: 0.1143 0.4753 0.7521  1 H 2.64
Hf: 0.1300 0.2457 0.0142  1 H 2.82, 4 Hf 2.98-3.13, 3 Tl 3.02-3.15
Hf: 0.1300 0.2543 0.5142  1 H 2.82, 4 Hf 2.98-3.13, 3 Tl 3.02-3.15
Hf: 0.3707 0.7038 0.5102  1 H 1.95
Hf: 0.3707 0.7962 0.0102  1 H 1.95
Hf: 0.6293 0.2038 0.9898  1 H 1.95
Hf: 0.6293 0.2962 0.4898  1 H 1.95
Hf: 0.8700 0.7457 0.4858  1 H 2.82, 4 Hf 2.98-3.13, 3 Tl 3.02-3.15
Hf: 0.8700 0.7543 0.9858  1 H 2.82, 4 Hf 2.98-3.13, 3 Tl 3.02-3.15
Hf: 0.8857 0.5247 0.2479  1 H 2.64
Hf: 0.8857 0.9753 0.7479  1 H 2.64
Tl: 0.3607 0.5779 0.2431  9 Hf 2.99-3.24
Tl: 0.3607 0.9221 0.7431  9 Hf 2.99-3.24
Tl: 0.6393 0.0779 0.2569  9 Hf 2.99-3.24
Tl: 0.6393 0.4221 0.7569  9 Hf 2.99-3.24
H: 0.5000 0.0000 0.5000  2 Hf 1.95
H: 0.5000 0.5000 0.0000  2 Hf 1.95


| no. | final energy (eV for the cell shown) | volume (Å³/cell) | total moment (μB/f.u.) |
| --- | --- | --- | --- |
| 1 | -54.29 | 316.05 | 4.6 |
| 2 | -134.80 | 367.74 | 0.0 |